Record 1
# Al2Re2Ag PBE-GGA relaxed
data_Al2Re2Ag
_cell_length_a 3.647
_cell_length_b 3.647
_cell_length_c 12.869
_cell_angle_alpha 90.00
_cell_angle_beta 90.00
_cell_angle_gamma 90.00
_space_group_name_H-M_alt 'I 4/m m m'
_space_group_IT_number 139
_space_group_name_Hall '-I 4 2'
loop_
_atom_site_label
_atom_site_fract_x
_atom_site_fract_y
_atom_site_fract_z
_atom_site_occupancy
Al1 0.000 0.000 0.100 1
Re1 0.000 0.500 0.250 1
Ag1 0.000 0.000 0.500 1
# V: 17.117 Å³ per atom
# calculated total energy: -6.62 eV per atom
# magnetization: 0.00 μB per formula unit


Record 2
# Al2ReAg PBE-GGA relaxed
data_Al2ReAg
_cell_length_a 6.289
_cell_length_b 6.289
_cell_length_c 6.289
_cell_angle_alpha 90.00
_cell_angle_beta 90.00
_cell_angle_gamma 90.00
_space_group_name_H-M_alt 'F -4 3 m'
_space_group_IT_number 216
_space_group_name_Hall 'F -4 2 3'
loop_
_atom_site_label
_atom_site_fract_x
_atom_site_fract_y
_atom_site_fract_z
_atom_site_occupancy
Al1 0.000 0.000 0.000 1
Al2 0.250 0.250 0.250 1
Re1 0.000 0.000 0.500 1
Ag1 0.250 0.250 0.750 1
# V: 15.548 Å³ per atom
# calculated total energy: -5.32 eV per atom
# magnetization: 0.00 μB per formula unit


Record 3
# AlAgS2 PBE-GGA relaxed
data_AlAgS2
_cell_length_a 5.739
_cell_length_b 5.739
_cell_length_c 10.502
_cell_angle_alpha 90.00
_cell_angle_beta 90.00
_cell_angle_gamma 90.00
_space_group_name_H-M_alt 'I -4 2 d'
_space_group_IT_number 122
_space_group_name_Hall 'I -4 2bw'
loop_
_atom_site_label
_atom_site_fract_x
_atom_site_fract_y
_atom_site_fract_z
_atom_site_occupancy
Al1 0.000 0.000 0.000 1
Ag1 0.000 0.000 0.500 1
S1 0.207 0.250 0.125 1
# V: 21.618 Å³ per atom
# calculated total energy: -4.47 eV per atom


Record 4
# AlAgS2 PBE-GGA relaxed
data_AlAgS2
_cell_length_a 3.5327
_cell_length_b 3.5327
_cell_length_c 6.9001
_cell_angle_alpha 90.00
_cell_angle_beta 90.00
_cell_angle_gamma 120.00
_space_group_name_H-M_alt 'P 3 m 1'
_space_group_IT_number 156
loop_
_space_group_symop_operation_xyz
'x,y,z'
'-y,x-y,z'
'-x+y,-x,z'
'-y,-x,z'
'-x+y,y,z'
'x,x-y,z'
loop_
_atom_site_label
_atom_site_fract_x
_atom_site_fract_y
_atom_site_fract_z
_atom_site_occupancy
Al1 0.0000 0.0000 0.0000 1
Ag1 0.3333 0.6667 0.5346 1
S1 0.3333 0.6667 0.1798 1
S2 0.6667 0.3333 0.7976 1
# V: 18.644 Å³ per atom
# calculated total energy: -4.40 eV per atom


Record 5
# AlAgSeS PBE-GGA relaxed
data_AlAgSeS
_cell_length_a 5.843
_cell_length_b 5.960
_cell_length_c 10.767
_cell_angle_alpha 90.00
_cell_angle_beta 90.00
_cell_angle_gamma 90.00
_space_group_name_H-M_alt 'I 21 21 21'
_space_group_IT_number 24
loop_
_space_group_symop_operation_xyz
'x,y,z'
'-x,-y+1/2,z'
'x,-y,-z+1/2'
'-x,y+1/2,-z+1/2'
'x+1/2,y+1/2,z+1/2'
'-x+1/2,-y,z+1/2'
'x+1/2,-y+1/2,-z'
'-x+1/2,y,-z'
loop_
_atom_site_label
_atom_site_fract_x
_atom_site_fract_y
_atom_site_fract_z
_atom_site_occupancy
Al1 0.000 0.250 0.120 1
Ag1 0.000 0.250 0.612 1
Se1 0.219 0.000 0.250 1
S1 0.250 0.451 0.000 1
# V: 23.433 Å³ per atom
# calculated total energy: -4.23 eV per atom


Record 6
# Al2Ag2Se3S PBE-GGA relaxed
data_Al2Ag2Se3S
_cell_length_a 12.376
_cell_length_b 6.002
_cell_length_c 5.956
_cell_angle_alpha 90.00
_cell_angle_beta 118.05
_cell_angle_gamma 90.00
_space_group_name_H-M_alt 'C 1 2 1'
_space_group_IT_number 5
loop_
_space_group_symop_operation_xyz
'x,y,z'
'-x,y,-z'
'x+1/2,y+1/2,z'
'-x+1/2,y+1/2,-z'
loop_
_atom_site_label
_atom_site_fract_x
_atom_site_fract_y
_atom_site_fract_z
_atom_site_occupancy
Al1 0.122 0.000 0.378 1
Ag1 0.120 0.518 0.861 1
Se1 0.000 0.218 0.000 1
Se2 0.250 0.254 0.716 1
S1 0.000 0.801 0.500 1
# V: 24.401 Å³ per atom
# calculated total energy: -4.12 eV per atom


- Which of these has the highest calculated total energy?
  Al2Ag2Se3S